[1]
Here is a relaxed YNiMo2 crystal from the Alexandria database. Energies are from PBE-GGA.

Properties
* E: -32.67 eV per cell
* space-group type: P4mm (99)
* total magnetic moment: 0.00 μB/cell
* energy of formation from the pure elements: 0.310 eV/atom

abc: 2.8122 2.8122 8.5917
angles: 90.00 90.00 90.00
Sites, in units of the cell vectors:
Y  0.0000  0.0000  0.0000
Ni  0.5000  0.5000  0.7449
Mo  0.0000  0.0000  0.5544
Mo  0.5000  0.5000  0.2936

[2]
Here is a relaxed AgMo5 crystal from the Alexandria database. Energies are from PBE-GGA.

Properties
* E: -54.52 eV per cell
* space-group type: F-43m (216)
* total magnetic moment: 0.00 μB/cell
* energy of formation from the pure elements: 0.415 eV/atom

abc: 5.2141 5.2141 5.2141
angles: 60.00 60.00 60.00
Sites, in units of the cell vectors:
Ag  0.0000  0.0000  0.0000
Mo  0.1235  0.6255  0.6255
Mo  0.2500  0.2500  0.2500
Mo  0.6255  0.1235  0.6255
Mo  0.6255  0.6255  0.1235
Mo  0.6255  0.6255  0.6255

| no. | energy above the lowest structure with this stoichiometry (meV/atom) | calculated volume (Å³/cell) |
| --- | --- | --- |
| 1 | 192.7 | 67.9 |
| 2 | 5.1 | 100.2 |